(1)
# Be6FeB2

A relaxed structure of Be6FeB2 (GGA-PBE, Alexandria via LeMat-Bulk).

Cell lengths 3.898, 4.179, 4.179 Å; angles 91.44, 94.74, 94.74 degrees
Element x y z (fractional)
B 0.500 0.152 0.348
B 0.500 0.848 0.652
Be 0.308 0.359 0.859
Be 0.792 0.141 0.996
Be 0.208 0.504 0.359
Be 0.208 0.859 0.004
Be 0.692 0.641 0.141
Be 0.792 0.496 0.641
Fe 0.000 0.000 0.500

Calculated values
As for the total energy: -4.952 eV per atom. The formation energy from the elements comes out at -0.043 eV/atom. Its density of states at the Fermi level is 0.14 states/eV per atom. The mass density comes out at 3.232 g/cm3.

=====

(2)
# Be2FeB2

A relaxed structure of Be2FeB2 (GGA-PBE, Alexandria via LeMat-Bulk).

Cell lengths 5.245, 5.245, 2.721 Å; angles 90.00, 90.00, 90.00 degrees
Element x y z (fractional)
Be 0.682 0.818 0.500
Be 0.318 0.182 0.500
Be 0.818 0.318 0.500
Be 0.182 0.682 0.500
B 0.885 0.615 0.000
B 0.385 0.885 0.000
B 0.615 0.115 0.000
B 0.115 0.385 0.000
Fe 0.500 0.500 0.000
Fe 0.000 0.000 0.000

Calculated values
As for the total energy: -5.889 eV per atom. The formation energy from the elements comes out at -0.035 eV/atom. Its distance to the lowest polymorph of the same formula is 8 meV/atom. Its density of states at the Fermi level is 0.38 states/eV per atom. The mass density comes out at 4.237 g/cm3.

=====

(3)
# Be4FeB2

A relaxed structure of Be4FeB2 (GGA-PBE, Alexandria via LeMat-Bulk).

Cell lengths 3.062, 3.001, 6.000 Å; angles 90.00, 104.79, 90.00 degrees
Last column: magnetic moment on the atom in μB.
Element x y z (fractional)
B 0.430 0.500 0.860  -0.01
B 0.570 0.500 0.140  -0.01
Fe 0.000 0.000 0.000  0.32
Be 0.674 0.000 0.348  0.00
Be 0.830 0.500 0.661  -0.01
Be 0.326 0.000 0.652  0.00
Be 0.170 0.500 0.339  -0.01

Calculated values
As for the total energy: -5.227 eV per atom. The formation energy from the elements comes out at 0.019 eV/atom. Its density of states at the Fermi level is 0.42 states/eV per atom. The mass density comes out at 3.535 g/cm3.

=====

(4)
# BeFeB4

A relaxed structure of BeFeB4 (GGA-PBE, Alexandria via LeMat-Bulk).

Cell lengths 3.801, 3.801, 3.801 Å; angles 60.00, 60.00, 60.00 degrees
Element x y z (fractional)
B 0.623 0.623 0.130
B 0.623 0.130 0.623
B 0.623 0.623 0.623
B 0.130 0.623 0.623
Be 0.250 0.250 0.250
Fe 0.000 0.000 0.000

Calculated values
As for the total energy: -6.272 eV per atom. The formation energy from the elements comes out at 0.211 eV/atom. Its density of states at the Fermi level is 0.15 states/eV per atom. The mass density comes out at 4.623 g/cm3.

=====

(5)
# BeFe2B

A relaxed structure of BeFe2B (GGA-PBE, Alexandria via LeMat-Bulk).

Cell lengths 2.536, 2.536, 6.575 Å; angles 78.88, 78.88, 60.00 degrees
Last column: magnetic moment on the atom in μB.
Element x y z (fractional)
Fe 0.261 0.261 0.218  0.78
Fe 0.073 0.073 0.781  0.82
Be 0.500 0.500 0.500  -0.04
B 0.667 0.667 0.000  -0.07

Calculated values
As for the total energy: -6.820 eV per atom. The formation energy from the elements comes out at 0.012 eV/atom. Its distance to the lowest polymorph of the same formula is 191 meV/atom. Its density of states at the Fermi level is 0.87 states/eV per atom. The mass density comes out at 6.118 g/cm3.

=====

(6)
# BeFeB2

A relaxed structure of BeFeB2 (GGA-PBE, Alexandria via LeMat-Bulk).

Cell lengths 3.206, 3.206, 3.736 Å; angles 64.59, 64.59, 60.00 degrees
Element x y z (fractional)
B 0.787 0.787 0.639
B 0.213 0.213 0.361
Be 0.500 0.500 0.500
Fe 0.000 0.000 0.000

Calculated values
As for the total energy: -6.298 eV per atom. The formation energy from the elements comes out at 0.088 eV/atom. Its distance to the lowest polymorph of the same formula is 103 meV/atom. Its density of states at the Fermi level is 0.53 states/eV per atom. The mass density comes out at 4.970 g/cm3.